*a*
A PBEsol-optimized structure of CaTl2W, computed with meta-GGA SCAN.

Summary:
- Space group: Cmmm
- V: 84.5 Å³/cell

Cell: 3.0518 5.4156 5.4156 Å, 109.16 90.00 90.00°
Element x y z (fractional)
Ca  0.5000  0.5000  0.5000
Tl  0.0000  0.5000  0.0000
Tl  0.0000  0.0000  0.5000
W  0.5000  0.0000  0.0000

*b*
A PBEsol-optimized structure of CaTl2W, computed with meta-GGA SCAN.

Summary:
- Space group: R-3m
- V: 88.4 Å³/cell

Cell: 3.2412 3.2412 9.8963 Å, 80.57 80.57 60.00°
Element x y z (fractional)
Ca  0.0000  0.0000  0.0000
Tl  0.2447  0.2447  0.2658
Tl  0.7553  0.7553  0.7342
W  0.5000  0.5000  0.5000

Which structure loses on stability? *a* does.

*a*
A PBEsol-optimized structure of Ca2YTl, computed with meta-GGA SCAN.

Summary:
- Space group: Cmmm
- V: 123.8 Å³/cell

Cell: 3.6049 6.0711 6.0711 Å, 111.33 90.00 90.00°
Element x y z (fractional)
Y  0.5000  0.5000  0.5000
Tl  0.5000  0.0000  0.0000
Ca  0.0000  0.5000  0.0000
Ca  0.0000  0.0000  0.5000

*b*
A PBEsol-optimized structure of Ca2YTl, computed with meta-GGA SCAN.

Summary:
- Space group: Pmmm
- V: 121.3 Å³/cell

Cell: 3.5663 5.0033 6.7977 Å, 90.00 90.00 90.00°
Site moments in Bohr magnetons follow the coordinates.
Element x y z (fractional)
Y  0.5000  0.5000  0.5000  0.09
Tl  0.5000  0.5000  0.0000  -0.01
Ca  0.0000  0.0000  0.7651  0.01
Ca  0.0000  0.0000  0.2349  0.01

Which structure loses on stability? *a* does.

*a*
A PBEsol-optimized structure of CaY2Tl, computed with meta-GGA SCAN.

Summary:
- Space group: P4mm
- V: 120.1 Å³/cell

Cell: 3.5751 3.5751 9.3975 Å, 90.00 90.00 90.00°
Site moments in Bohr magnetons follow the coordinates.
Element x y z (fractional)
Y  0.0000  0.0000  0.9749  0.28
Y  0.5000  0.5000  0.2339  0.30
Tl  0.5000  0.5000  0.7568  0.00
Ca  0.0000  0.0000  0.5345  0.00

*b*
A PBEsol-optimized structure of CaY2Tl, computed with meta-GGA SCAN.

Summary:
- Space group: P4/mmm
- V: 112.4 Å³/cell

Cell: 4.7564 4.8618 4.8618 Å, 90.00 90.00 90.00°
Site moments in Bohr magnetons follow the coordinates.
Element x y z (fractional)
Y  0.0000  0.0000  0.5000  0.28
Y  0.0000  0.5000  0.0000  0.28
Tl  0.5000  0.0000  0.0000  -0.01
Ca  0.5000  0.5000  0.5000  0.01

Which structure loses on stability? *a* does.

*a*
A PBEsol-optimized structure of Ca2ZrTl, computed with meta-GGA SCAN.

Summary:
- Space group: P4/mmm
- V: 111.0 Å³/cell

Cell: 3.7348 5.4528 5.4528 Å, 90.00 90.00 90.00°
Site moments in Bohr magnetons follow the coordinates.
Element x y z (fractional)
Tl  0.5000  0.5000  0.5000  0.00
Ca  0.0000  0.0000  0.5000  0.12
Ca  0.0000  0.5000  0.0000  0.12
Zr  0.5000  0.0000  0.0000  1.26

*b*
A PBEsol-optimized structure of Ca2ZrTl, computed with meta-GGA SCAN.

Summary:
- Space group: Cmmm
- V: 109.3 Å³/cell

Cell: 3.3313 6.0128 6.0128 Å, 114.87 90.00 90.00°
Site moments in Bohr magnetons follow the coordinates.
Element x y z (fractional)
Tl  0.5000  0.0000  0.0000  0.00
Ca  0.0000  0.5000  0.0000  0.02
Ca  0.0000  0.0000  0.5000  0.02
Zr  0.5000  0.5000  0.5000  0.44

Which structure loses on stability? *a* does.

*a*
A PBEsol-optimized structure of CaW3, computed with meta-GGA SCAN.

Summary:
- Space group: P4/mmm
- V: 70.9 Å³/cell

Cell: 2.6717 2.6717 9.9319 Å, 90.00 90.00 90.00°
Element x y z (fractional)
Ca  0.0000  0.0000  0.0000
W  0.5000  0.5000  0.7287
W  0.0000  0.0000  0.5000
W  0.5000  0.5000  0.2713

*b*
A PBEsol-optimized structure of CaW3, computed with meta-GGA SCAN.

Summary:
- Space group: Imm2
- V: 72.7 Å³/cell

Cell: 2.6387 5.2672 6.0017 Å, 116.03 102.70 90.00°
Element x y z (fractional)
Ca  0.0000  0.9719  0.0000
W  0.5000  0.4742  0.0000
W  0.7734  0.1336  0.5468
W  0.2266  0.5868  0.4532

*c*
A PBEsol-optimized structure of CaW3, computed with meta-GGA SCAN.

Summary:
- Space group: Pmmm
- V: 70.2 Å³/cell

Cell: 2.6435 4.7036 5.6438 Å, 90.00 90.00 90.00°
Element x y z (fractional)
Ca  0.0000  0.0000  0.0000
W  0.5000  0.5000  0.7348
W  0.0000  0.0000  0.5000
W  0.5000  0.5000  0.2652

Which structure loses on stability? *c* does.

*a*
A PBEsol-optimized structure of CaYW2, computed with meta-GGA SCAN.

Summary:
- Space group: C2/m
- V: 80.4 Å³/cell

Cell: 2.7747 5.3789 5.5877 Å, 93.33 90.00 104.95°
Element x y z (fractional)
Ca  0.5000  0.0000  0.0000
W  0.7485  0.4970  0.7331
W  0.2515  0.5030  0.2669
Y  0.0000  0.0000  0.5000

*b*
A PBEsol-optimized structure of CaYW2, computed with meta-GGA SCAN.

Summary:
- Space group: Imm2
- V: 89.6 Å³/cell

Cell: 3.4529 5.1508 5.9143 Å, 115.81 106.97 90.00°
Element x y z (fractional)
Ca  0.2666  0.7666  0.5332
W  0.0385  0.0385  0.0769
W  0.7098  0.2098  0.4197
Y  0.4851  0.4851  0.9702

Which structure loses on stability? *a* does.

*a*
A PBEsol-optimized structure of CaY5, computed with meta-GGA SCAN.

Summary:
- Space group: Amm2
- V: 192.1 Å³/cell

Cell: 3.5814 5.6776 9.6136 Å, 90.00 100.73 90.00°
Site moments in Bohr magnetons follow the coordinates.
Element x y z (fractional)
Y  0.3294  0.0000  0.6588  0.39
Y  0.6708  0.0000  0.3416  0.34
Y  0.4410  0.5000  0.8820  0.43
Y  0.7779  0.5000  0.5557  0.28
Y  0.1129  0.5000  0.2258  0.34
Ca  0.0014  0.0000  0.0027  0.08

*b*
A PBEsol-optimized structure of CaY5, computed with meta-GGA SCAN.

Summary:
- Space group: F-43m
- V: 200.9 Å³/cell

Cell: 6.5740 6.5740 6.5740 Å, 60.00 60.00 60.00°
Site moments in Bohr magnetons follow the coordinates.
Element x y z (fractional)
Ca  0.0000  0.0000  0.0000  0.03
Y  0.2500  0.2500  0.2500  -0.15
Y  0.6234  0.1298  0.6234  -0.01
Y  0.6234  0.6234  0.1298  -0.01
Y  0.6234  0.6234  0.6234  -0.01
Y  0.1298  0.6234  0.6234  -0.01

Which structure loses on stability? *b* does.

*a*
A PBEsol-optimized structure of CaY5, computed with meta-GGA SCAN.

Summary:
- Space group: P-62m
- V: 191.9 Å³/cell

Cell: 5.6374 6.2691 6.2691 Å, 120.00 90.00 90.00°
Site moments in Bohr magnetons follow the coordinates.
Element x y z (fractional)
Y  0.0000  0.3429  0.3429  0.39
Y  0.0000  0.6571  0.0000  0.39
Y  0.0000  0.0000  0.6571  0.39
Y  0.5000  0.3333  0.6667  0.48
Y  0.5000  0.6667  0.3333  0.48
Ca  0.5000  0.0000  0.0000  0.09

*b*
A PBEsol-optimized structure of CaY5, computed with meta-GGA SCAN.

Summary:
- Space group: Cm
- V: 192.4 Å³/cell

Cell: 3.6017 6.7369 8.4582 Å, 102.92 90.00 105.50°
Site moments in Bohr magnetons follow the coordinates.
Element x y z (fractional)
Y  0.3309  0.6618  0.6611  0.22
Y  0.6700  0.3401  0.3386  0.38
Y  0.6164  0.2329  0.7142  0.36
Y  0.9430  0.8860  0.3935  0.30
Y  0.2736  0.5473  0.0593  0.43
Ca  0.9993  0.9985  0.0000  0.04

Which structure loses on stability? *a* does.